# 1
The following is a DFT calculation (GGA-PBE) of a relaxed Gd2IrPt crystal.

a = 4.0786 Å, b = 4.0786 Å, c = 19.9584 Å
α = 90.00°, β = 90.00°, γ = 120.00°
Space group R-3m (No. 166, hexagonal axes)
Unique sites:
1 Gd 0.0000 0.0000 0.2462
2 Ir 0.0000 0.0000 0.5000
3 Pt 0.0000 0.0000 0.0000



# 2
The following is a DFT calculation (GGA-PBE) of a relaxed SmGdIrPt crystal.

a = 7.028 Å, b = 7.028 Å, c = 7.028 Å
α = 90.00°, β = 90.00°, γ = 90.00°
Space group F-43m (No. 216)
Unique sites:
1 Sm 0.000 0.000 0.000
2 Gd 0.000 0.000 0.500
3 Ir 0.250 0.250 0.750
4 Pt 0.250 0.250 0.250



# 3
The following is a DFT calculation (GGA-PBE) of a relaxed TbGdIrPt crystal.

a = 6.967 Å, b = 6.967 Å, c = 6.967 Å
α = 90.00°, β = 90.00°, γ = 90.00°
Space group F-43m (No. 216)
Unique sites:
1 Tb 0.000 0.000 0.000
2 Gd 0.000 0.000 0.500
3 Ir 0.250 0.250 0.250
4 Pt 0.250 0.250 0.750



# 4
The following is a DFT calculation (GGA-PBE) of a relaxed GdThIrPt crystal.

a = 7.112 Å, b = 7.112 Å, c = 7.112 Å
α = 90.00°, β = 90.00°, γ = 90.00°
Space group F-43m (No. 216)
Unique sites:
1 Gd 0.000 0.000 0.000
2 Th 0.000 0.000 0.500
3 Ir 0.250 0.250 0.250
4 Pt 0.250 0.250 0.750



Going through the records in order, we get DFT formation energy values of -809 -919 -975 -918 meV per atom.
Going through the records in order, we get volume values of 23.960 21.692 21.136 22.485 Å³ per atom.